A plane-wave DFT calculation with GGA-PBE was carried out for YZr2Zn after structural relaxation.

- SG: Cmmm, No. 65
- Crystal system: orthorhombic
- E_tot: -6.07 eV per atom
- DOS at the Fermi energy: 6.535 states/eV/cell
- DFT formation energy: 13 kJ/mol of atoms
- Calculated volume: 22.9 Å³ per atom

a = 5.593 Å, b = 5.593 Å, c = 3.158 Å
α = 90.00°, β = 90.00°, γ = 111.84°
Sites, in units of the cell vectors:
1 Y 0.000 0.000 0.000
2 Zr 0.000 0.500 0.500
3 Zr 0.500 0.000 0.500
4 Zn 0.500 0.500 0.000

=====

A plane-wave DFT calculation with GGA-PBE was carried out for LaSm2YTl2 after structural relaxation.

- SG: Pmc2_1, No. 26
- Crystal system: orthorhombic
- E_tot: -4.54 eV per atom
- DOS at the Fermi energy: 14.468 states/eV/cell
- DFT formation energy: -27 kJ/mol of atoms
- Calculated volume: 30.9 Å³ per atom

a = 5.255 Å, b = 10.259 Å, c = 6.888 Å
α = 90.00°, β = 90.00°, γ = 90.00°
Sites, in units of the cell vectors:
1 La 0.000 0.043 0.000
2 La 0.000 0.957 0.500
3 Sm 0.000 0.319 0.372
4 Sm 0.000 0.681 0.872
5 Sm 0.500 0.455 0.093
6 Sm 0.500 0.545 0.593
7 Y 0.500 0.192 0.724
8 Y 0.500 0.808 0.224
9 Tl 0.000 0.362 0.839
10 Tl 0.000 0.638 0.339
11 Tl 0.500 0.135 0.265
12 Tl 0.500 0.865 0.765

=====

A plane-wave DFT calculation with GGA-PBE was carried out for Ca2CdFe after structural relaxation.

- SG: C2/m, No. 12
- Crystal system: monoclinic
- E_tot: -2.93 eV per atom
- DOS at the Fermi energy: 5.329 states/eV/cell
- DFT formation energy: 40 kJ/mol of atoms
- Calculated volume: 27.2 Å³ per atom

a = 5.221 Å, b = 5.221 Å, c = 6.327 Å
α = 101.68°, β = 101.68°, γ = 40.20°
Sites, in units of the cell vectors:
1 Ca 0.242 0.242 0.234
2 Ca 0.758 0.758 0.766
3 Cd 0.000 0.000 0.500
4 Fe 0.500 0.500 0.000